[1]
{"formula": "Ba6SrPdRh", "functional": "PBE", "state": "optimized geometry", "formation_enthalpy_0k_ev_per_atom": -0.10, "lattice": [[8.019, 0.000, 0.000], [-4.009, 6.945, 0.000], [0.000, 0.000, 9.685]], "species": ["Ba", "Ba", "Ba", "Ba", "Ba", "Ba", "Sr", "Pd", "Rh"], "frac_coords": [[0.029, 0.342, 0.181], [0.029, 0.687, 0.819], [0.313, 0.342, 0.819], [0.313, 0.971, 0.181], [0.658, 0.687, 0.181], [0.658, 0.971, 0.819], [0.667, 0.333, 0.500], [0.000, 0.000, 0.000], [0.333, 0.667, 0.000]]}

---

[2]
{"formula": "LaSc2Cd", "functional": "PBE", "state": "optimized geometry", "formation_enthalpy_0k_ev_per_atom": -0.05, "lattice": [[-2.374, 2.374, 4.663], [2.374, -2.374, 4.663], [2.374, 2.374, -4.663]], "species": ["La", "Sc", "Sc", "Cd"], "frac_coords": [[0.000, 0.000, 0.000], [0.250, 0.750, 0.500], [0.500, 0.500, 0.000], [0.750, 0.250, 0.500]]}

---

[3]
{"formula": "RbGePd", "functional": "PBE", "state": "optimized geometry", "formation_enthalpy_0k_ev_per_atom": -0.17, "de_polymorph_kj_per_mol_atoms": 1.4, "lattice": [[4.228, 0.000, 0.000], [-2.114, 3.661, 0.000], [0.000, 0.000, 5.772]], "species": ["Rb", "Ge", "Pd"], "frac_coords": [[0.000, 0.000, 0.000], [0.333, 0.667, 0.500], [0.667, 0.333, 0.500]]}

---

[4]
{"formula": "Ac3Ga2PbO9", "functional": "PBE", "state": "optimized geometry", "formation_energy_uncorrected_ev_per_atom": -2.34, "lattice": [[5.753, 0.000, 0.000], [-2.877, 4.982, 0.000], [0.000, 0.000, 7.596]], "species": ["Ac", "Ac", "Ac", "Ga", "Ga", "Pb", "O", "O", "O", "O", "O", "O", "O", "O", "O"], "frac_coords": [[0.000, 0.000, 0.000], [0.333, 0.667, 0.730], [0.667, 0.333, 0.270], [0.333, 0.667, 0.169], [0.667, 0.333, 0.831], [0.000, 0.000, 0.500], [0.000, 0.500, 0.000], [0.167, 0.334, 0.295], [0.167, 0.833, 0.295], [0.334, 0.167, 0.705], [0.500, 0.000, 0.000], [0.500, 0.500, 0.000], [0.666, 0.833, 0.295], [0.833, 0.167, 0.705], [0.833, 0.666, 0.705]]}

---

[5]
{"formula": "CeGa4Ag", "functional": "PBE", "state": "optimized geometry", "formation_enthalpy_0k_ev_per_atom": -0.33, "de_polymorph_kj_per_mol_atoms": 0.0, "lattice": [[2.149, -8.307, 0.000], [2.149, 8.307, 0.000], [0.000, 0.000, 6.672]], "species": ["Ce", "Ce", "Ga", "Ga", "Ga", "Ga", "Ga", "Ga", "Ga", "Ga", "Ag", "Ag"], "frac_coords": [[0.106, 0.894, 0.750], [0.894, 0.106, 0.250], [0.072, 0.928, 0.250], [0.331, 0.669, 0.549], [0.331, 0.669, 0.951], [0.500, 0.500, 0.000], [0.500, 0.500, 0.500], [0.669, 0.331, 0.049], [0.669, 0.331, 0.451], [0.928, 0.072, 0.750], [0.229, 0.771, 0.250], [0.771, 0.229, 0.750]]}

---

[6]
{"formula": "Y2TiAl2Rh5", "functional": "PBE", "state": "optimized geometry", "formation_enthalpy_0k_ev_per_atom": -0.87, "lattice": [[9.987, 0.000, 0.000], [0.000, 9.987, 0.000], [0.000, 0.000, 3.387]], "species": ["Y", "Y", "Y", "Y", "Ti", "Ti", "Al", "Al", "Al", "Al", "Rh", "Rh", "Rh", "Rh", "Rh", "Rh", "Rh", "Rh", "Rh", "Rh"], "frac_coords": [[0.173, 0.327, 0.000], [0.327, 0.827, 0.000], [0.673, 0.173, 0.000], [0.827, 0.673, 0.000], [0.000, 0.000, 0.000], [0.500, 0.500, 0.000], [0.126, 0.626, 0.000], [0.374, 0.126, 0.000], [0.626, 0.874, 0.000], [0.874, 0.374, 0.000], [0.000, 0.500, 0.500], [0.065, 0.798, 0.500], [0.202, 0.065, 0.500], [0.298, 0.565, 0.500], [0.435, 0.298, 0.500], [0.500, 0.000, 0.500], [0.565, 0.702, 0.500], [0.702, 0.435, 0.500], [0.798, 0.935, 0.500], [0.935, 0.202, 0.500]]}

---

| no. | Fermi-level density of states (states/eV/f.u.) | size of the total moment (μB/f.u.) | V (Å³/atom) |
| --- | --- | --- | --- |
| 1 | 8.22 | 0.00 | 59.92 |
| 2 | 6.04 | 0.24 | 26.27 |
| 3 | 2.89 | 0.00 | 29.78 |
| 4 | 2.10 | 0.00 | 14.52 |
| 5 | 6.39 | 0.63 | 19.85 |
| 6 | 2.85 | 0.00 | 16.89 |